BePtSO: optimized geometry, PBE.

Values from the calculation:
- V (Å³/atom) = 16.6
- electronic total energy (eV per cell) = -85.30

abc: 5.057 6.160 8.510
angles: 90.00 90.00 90.00
Element x y z (fractional)
Be: 0.181 0.129 0.472
Be: 0.319 0.871 0.972
Be: 0.681 0.371 0.528
Be: 0.819 0.629 0.028
Pt: 0.177 0.678 0.521
Pt: 0.323 0.322 0.021
Pt: 0.677 0.822 0.479
Pt: 0.823 0.178 0.979
S: 0.039 0.347 0.630
S: 0.461 0.653 0.130
S: 0.539 0.153 0.370
S: 0.961 0.847 0.870
O: 0.030 0.933 0.404
O: 0.470 0.067 0.904
O: 0.530 0.567 0.596
O: 0.970 0.433 0.096

LaCuSiPd: optimized geometry, PBE.

Values from the calculation:
- V (Å³/atom) = 18.8
- electronic total energy (eV per cell) = -20.58

abc: 4.738 4.738 4.738
angles: 60.00 60.00 60.00
Element x y z (fractional)
La: 0.000 0.000 0.000
Cu: 0.250 0.250 0.250
Si: 0.750 0.750 0.750
Pd: 0.500 0.500 0.500

DyEr3In2C2: optimized geometry, PBE.

Values from the calculation:
- V (Å³/atom) = 22.4
- electronic total energy (eV per cell) = -45.52

abc: 3.572 3.572 16.251
angles: 90.00 90.00 120.00
Element x y z (fractional)
Dy: 0.000 0.000 0.000
Er: 0.000 0.000 0.664
Er: 0.667 0.333 0.166
Er: 0.667 0.333 0.500
In: 0.000 0.000 0.333
In: 0.667 0.333 0.831
C: 0.333 0.667 0.083
C: 0.333 0.667 0.582

CsCuNiTe2S: optimized geometry, PBE.

Values from the calculation:
- V (Å³/atom) = 27.6
- electronic total energy (eV per cell) = -44.63

abc: 7.757 7.757 11.133
angles: 90.00 90.00 150.32
Element x y z (fractional)
Cs: 0.235 0.765 0.750
Cs: 0.765 0.235 0.250
Cu: 0.038 0.962 0.250
Cu: 0.962 0.038 0.750
Ni: 0.500 0.500 0.000
Ni: 0.500 0.500 0.500
Te: 0.106 0.894 0.036
Te: 0.106 0.894 0.464
Te: 0.894 0.106 0.536
Te: 0.894 0.106 0.964
S: 0.470 0.530 0.250
S: 0.530 0.470 0.750

AlRePd: optimized geometry, PBE.

Values from the calculation:
- V (Å³/atom) = 17.5
- electronic total energy (eV per cell) = -19.98

abc: 4.205 4.205 4.205
angles: 60.00 60.00 60.00
Element x y z (fractional)
Al: 0.000 0.000 0.000
Re: 0.500 0.500 0.500
Pd: 0.250 0.250 0.250

HoTm2In3NiGe2: optimized geometry, PBE.

Values from the calculation:
- V (Å³/atom) = 21.4
- electronic total energy (eV per cell) = -41.72

abc: 4.207 7.275 7.275
angles: 120.08 90.00 90.00
Element x y z (fractional)
Ho: 0.000 0.000 0.000
Tm: 0.000 0.194 0.597
Tm: 0.000 0.597 0.194
In: 0.500 0.356 0.356
In: 0.500 0.596 0.836
In: 0.500 0.836 0.596
Ni: 0.000 0.595 0.595
Ge: 0.500 0.264 0.929
Ge: 0.500 0.929 0.264

HfZrAs2: optimized geometry, PBE.

Values from the calculation:
- V (Å³/atom) = 23.0
- electronic total energy (eV per cell) = -30.62

abc: 3.864 3.864 7.105
angles: 90.00 90.00 120.00
Element x y z (fractional)
Hf: 0.000 0.000 0.000
Zr: 0.333 0.667 0.423
As: 0.333 0.667 0.788
As: 0.667 0.333 0.219

LiTbTe3Pb: optimized geometry, PBE.

Values from the calculation:
- V (Å³/atom) = 30.5
- electronic total energy (eV per cell) = -50.48

abc: 7.588 7.588 11.439
angles: 90.00 90.00 146.30
Element x y z (fractional)
Li: 0.026 0.974 0.750
Li: 0.974 0.026 0.250
Tb: 0.500 0.500 0.000
Tb: 0.500 0.500 0.500
Te: 0.143 0.857 0.563
Te: 0.143 0.857 0.937
Te: 0.413 0.587 0.750
Te: 0.587 0.413 0.250
Te: 0.857 0.143 0.063
Te: 0.857 0.143 0.437
Pb: 0.259 0.741 0.250
Pb: 0.741 0.259 0.750

SmDyIr: optimized geometry, PBE.

Values from the calculation:
- formation enthalpy at 0 K (meV per atom) = -661
- V (Å³/atom) = 25.0

abc: 7.215 4.699 8.862
angles: 90.00 90.00 90.00
Element x y z (fractional)
Sm: 0.142 0.250 0.085
Sm: 0.358 0.750 0.585
Sm: 0.642 0.250 0.415
Sm: 0.858 0.750 0.915
Dy: 0.007 0.250 0.661
Dy: 0.493 0.750 0.161
Dy: 0.507 0.250 0.839
Dy: 0.993 0.750 0.339
Ir: 0.236 0.250 0.410
Ir: 0.264 0.750 0.910
Ir: 0.736 0.250 0.090
Ir: 0.764 0.750 0.590

Hf2HCBr: optimized geometry, PBE.

Values from the calculation:
- V (Å³/atom) = 17.7
- electronic total energy (eV per cell) = -38.53

abc: 3.357 3.357 9.092
angles: 90.00 90.00 120.00
Element x y z (fractional)
Hf: 0.000 0.000 0.000
Hf: 0.333 0.667 0.263
H: 0.333 0.667 0.894
C: 0.667 0.333 0.135
Br: 0.000 0.000 0.479

SrZnSO: optimized geometry, PBE.

Values from the calculation:
- V (Å³/atom) = 17.9
- electronic total energy (eV per cell) = -37.29

abc: 4.087 4.087 8.553
angles: 90.00 90.00 90.00
Element x y z (fractional)
Sr: 0.250 0.250 0.202
Sr: 0.750 0.750 0.798
Zn: 0.250 0.250 0.574
Zn: 0.750 0.750 0.426
S: 0.250 0.250 0.849
S: 0.750 0.750 0.151
O: 0.250 0.750 0.500
O: 0.750 0.250 0.500

Hf2Mg2O5: optimized geometry, PBE.

Values from the calculation:
- V (Å³/atom) = 13.0
- electronic total energy (eV per cell) = -70.84

abc: 3.764 3.764 8.285
angles: 90.00 90.00 90.00
Element x y z (fractional)
Hf: 0.000 0.000 0.248
Hf: 0.000 0.000 0.752
Mg: 0.500 0.500 0.000
Mg: 0.500 0.500 0.500
O: 0.000 0.000 0.000
O: 0.000 0.500 0.342
O: 0.000 0.500 0.658
O: 0.500 0.000 0.342
O: 0.500 0.000 0.658

LiTbNb: optimized geometry, PBE.

Values from the calculation:
- V (Å³/atom) = 25.8
- electronic total energy (eV per cell) = -12.98

abc: 4.786 4.786 4.786
angles: 60.00 60.00 60.00
Element x y z (fractional)
Li: 0.000 0.000 0.000
Tb: 0.500 0.500 0.500
Nb: 0.250 0.250 0.250

SmGd: optimized geometry, PBE.

Values from the calculation:
- formation enthalpy at 0 K (meV per atom) = 701
- V (Å³/atom) = 34.2

abc: 4.590 4.590 4.590
angles: 60.00 60.00 60.00
Element x y z (fractional)
Sm: 0.000 0.000 0.000
Gd: 0.500 0.500 0.500

CdPtSeO: optimized geometry, PBE.

Values from the calculation:
- V (Å³/atom) = 19.2
- electronic total energy (eV per cell) = -32.08

abc: 3.668 3.668 11.395
angles: 90.00 90.00 90.00
Element x y z (fractional)
Cd: 0.250 0.250 0.097
Cd: 0.750 0.750 0.903
Pt: 0.250 0.750 0.500
Pt: 0.750 0.250 0.500
Se: 0.250 0.250 0.659
Se: 0.750 0.750 0.341
O: 0.250 0.250 0.902
O: 0.750 0.750 0.098

ZrNbTc2: optimized geometry, PBE.

Values from the calculation:
- formation enthalpy at 0 K (meV per atom) = -368
- V (Å³/atom) = 17.0

abc: 3.231 3.231 6.507
angles: 90.00 90.00 90.00
Element x y z (fractional)
Zr: 0.000 0.000 0.000
Nb: 0.000 0.000 0.500
Tc: 0.500 0.500 0.260
Tc: 0.500 0.500 0.740

DyTc2B2: optimized geometry, PBE.

Values from the calculation:
- V (Å³/atom) = 13.3
- electronic total energy (eV per cell) = -40.29

abc: 5.540 5.540 5.540
angles: 141.14 141.14 56.13
Element x y z (fractional)
Dy: 0.000 0.000 0.000
Tc: 0.250 0.750 0.500
Tc: 0.750 0.250 0.500
B: 0.401 0.401 0.000
B: 0.599 0.599 0.000

ErFeNiGe2: optimized geometry, PBE.

Values from the calculation:
- V (Å³/atom) = 15.9
- electronic total energy (eV per cell) = -30.46

abc: 5.774 5.774 5.774
angles: 139.81 139.81 58.15
Element x y z (fractional)
Er: 0.000 0.000 0.000
Fe: 0.750 0.250 0.500
Ni: 0.250 0.750 0.500
Ge: 0.373 0.373 0.000
Ge: 0.627 0.627 0.000

Sr2HgAs: optimized geometry, PBE.

Values from the calculation:
- V (Å³/atom) = 29.7
- electronic total energy (eV per cell) = -9.45

abc: 5.519 5.519 5.519
angles: 60.00 60.00 60.00
Element x y z (fractional)
Sr: 0.000 0.000 0.000
Sr: 0.250 0.250 0.250
Hg: 0.500 0.500 0.500
As: 0.750 0.750 0.750

Co2BMo: optimized geometry, PBE.

Values from the calculation:
- V (Å³/atom) = 10.7
- electronic total energy (eV per cell) = -30.79

abc: 3.931 3.931 3.931
angles: 60.00 60.00 60.00
Element x y z (fractional)
Co: 0.000 0.000 0.000
Co: 0.250 0.250 0.250
B: 0.500 0.500 0.500
Mo: 0.750 0.750 0.750

CuTcNiB: optimized geometry, PBE.

Values from the calculation:
- V (Å³/atom) = 11.3
- electronic total energy (eV per cell) = -23.52

abc: 3.994 3.994 3.994
angles: 60.00 60.00 60.00
Element x y z (fractional)
Cu: 0.000 0.000 0.000
Tc: 0.250 0.250 0.250
Ni: 0.500 0.500 0.500
B: 0.750 0.750 0.750